[1]
PBE Tl2BiP2, relaxed; distance to the lowest polymorph of the same formula = 0.195 eV per atom
1.0
7.9561 0.0000 0.0000
0.0000 7.9561 0.0000
0.0000 0.0000 3.9613
P Tl Bi
4 4 2
direct
0.3321 0.8321 0.0000
0.8321 0.6679 0.0000
0.6679 0.1679 0.0000
0.1679 0.3321 0.0000
0.1449 0.6449 0.5000
0.6449 0.8551 0.5000
0.8551 0.3551 0.5000
0.3551 0.1449 0.5000
0.0000 0.0000 0.0000
0.5000 0.5000 0.0000


[2]
PBE CeLuMgGa, relaxed; E = -16.10 eV/cell
1.0
-0.5114 -5.1259 0.2605
0.3526 -2.8481 -4.2859
4.0983 -3.0419 -0.7452
Mg Lu Ga Ce
1 1 1 1
direct
0.7500 0.7500 0.7500
0.5000 0.5000 0.5000
0.2500 0.2500 0.2500
0.0000 0.0000 0.0000


[3]
PBE La3PrTm7, relaxed; distance to the lowest polymorph of the same formula = 0.153 eV per atom
1.0
5.8334 -0.2448 -0.3135
-2.5170 8.0047 1.1370
-2.5170 -0.8375 8.0416
La Pr Tm
3 1 7
direct
0.0000 0.7861 0.2139
0.5000 0.0000 0.0000
0.0000 0.2139 0.7861
0.5000 0.5000 0.5000
0.2053 0.2065 0.2065
0.2883 0.9817 0.5947
0.7117 0.4053 0.0183
0.2883 0.5947 0.9817
0.0000 0.5000 0.5000
0.7117 0.0183 0.4053
0.7947 0.7935 0.7935


[4]
PBE LiLa4Ho4O12, relaxed; distance to the lowest polymorph of the same formula = 0.000 eV per atom; formation energy (no corrections) = -3.24 eV per atom
1.0
-3.1748 2.1421 -4.4429
-5.1646 -2.8763 2.0650
-2.1397 6.8610 4.6297
Li La Ho O
1 4 4 12
direct
0.8673 0.7501 0.6461
0.0186 0.0982 0.7855
0.5297 0.4353 0.2405
0.4539 0.5567 0.7427
0.9902 0.9363 0.2367
0.5065 0.9998 0.9984
0.4866 0.9905 0.4981
0.9985 0.5158 0.9998
0.0052 0.4557 0.4743
0.3630 0.0669 0.2541
0.7914 0.1898 0.4140
0.8170 0.1991 0.0511
0.2981 0.2872 0.5816
0.3164 0.3139 0.9346
0.8705 0.4678 0.7436
0.1409 0.5552 0.2456
0.6950 0.7083 0.0841
0.7000 0.6830 0.4474
0.1845 0.8243 0.9491
0.1839 0.7883 0.5763
0.6473 0.9277 0.7448


[5]
PBE K3NpS4, relaxed; distance to the lowest polymorph of the same formula = 0.025 eV per atom; formation energy (no corrections) = -1.25 eV per atom
1.0
4.1674 0.0000 0.0000
0.0000 7.6620 -0.0553
0.0000 -2.4681 7.2538
K Np S
3 1 4
direct
0.0000 0.0000 0.5000
0.5000 0.5000 0.5000
0.0000 0.5000 0.0000
0.5000 0.0000 0.0000
0.0000 0.2006 0.2006
0.5000 0.7983 0.2017
0.0000 0.7994 0.7994
0.5000 0.2017 0.7983


[6]
PBE ThTl2, relaxed; E = -12.13 eV/cell
1.0
-1.5617 3.0708 -1.3308
-1.0109 -1.8328 -3.0428
-4.2488 -2.2193 4.9896
Tl Th
2 1
direct
0.6731 0.6731 0.3462
0.3269 0.3269 0.6538
0.0000 0.0000 0.0000


[7]
PBE MnAsCl2, relaxed; distance to the lowest polymorph of the same formula = 0.401 eV per atom; formation energy (no corrections) = -0.02 eV per atom
1.0
4.2476 0.0000 0.0000
0.0000 4.4353 0.0046
0.0000 0.1798 4.4344
As Mn Cl
1 1 2
direct
0.5000 0.7500 0.7500
0.5000 0.2500 0.2500
0.0000 0.0135 0.0134
0.0000 0.4865 0.4866


[8]
PBE MnTcNi, relaxed; distance to the lowest polymorph of the same formula = 0.008 eV per atom
1.0
4.4957 0.0217 -0.0297
2.2051 3.9179 0.0297
-2.9313 -2.6827 2.1033
Mn Ni Tc
1 1 1
direct
0.9988 0.9988 0.0000
0.3346 0.3346 0.0000
0.6665 0.6665 0.0000


[9]
PBE Ca2BeAuO, relaxed; formation energy (no corrections) = -0.68 eV per atom
1.0
5.7107 0.0000 0.0000
0.0000 3.1192 0.0000
0.0000 0.0000 5.7107
Be Ca Au O
1 2 1 1
direct
0.0000 0.0000 0.0000
0.0000 0.0000 0.5000
0.5000 0.0000 0.0000
0.5000 0.5000 0.5000
0.0000 0.5000 0.0000


[10]
PBE Ac7Pd5Pt, relaxed; E = -141.75 eV/cell
1.0
4.3372 0.0000 0.0000
-2.1686 7.3192 0.0057
0.0000 -0.0423 26.1612
Ac Pd Pt
14 10 2
direct
0.4410 0.8819 0.2500
0.5597 0.1194 0.7500
0.6365 0.2730 0.0372
0.3642 0.7285 0.9628
0.3642 0.7284 0.5372
0.6361 0.2722 0.4628
0.1860 0.3719 0.1776
0.8148 0.6297 0.8224
0.8150 0.6299 0.6774
0.1855 0.3710 0.3226
0.9117 0.8234 0.1079
0.0891 0.1781 0.8921
0.0892 0.1784 0.6080
0.9111 0.8221 0.3919
0.0004 0.0007 0.0000
0.7252 0.4503 0.9275
0.2756 0.5511 0.0725
0.5440 0.0880 0.3534
0.4564 0.9129 0.6466
0.0001 0.0002 0.4999
0.2752 0.5504 0.4276
0.7251 0.4502 0.5724
0.4563 0.9127 0.8533
0.5444 0.0889 0.1467
0.7900 0.5800 0.2505
0.2108 0.4215 0.7497


[11]
PBE Sr2LaTc, relaxed; distance to the lowest polymorph of the same formula = 0.469 eV per atom
1.0
-11.5643 1.7387 -2.4568
-11.8116 -1.5444 -0.9453
-11.8102 1.4159 1.1431
La Sr Tc
1 2 1
direct
0.7500 0.7500 0.7500
0.9814 0.9814 0.9814
0.5186 0.5186 0.5186
0.2500 0.2500 0.2500


[12]
PBE PmMg2Au2, relaxed; distance to the lowest polymorph of the same formula = 0.044 eV per atom
1.0
-3.2061 -1.1267 -2.4262
2.4230 -2.8280 -1.8885
-1.7609 -4.4392 4.3883
Pm Mg Au
1 2 2
direct
0.0000 0.0000 0.0000
0.5000 0.0000 0.5000
0.0000 0.5000 0.5000
0.5000 0.5000 0.7859
0.5000 0.5000 0.2141


[13]
PBE Tl2CrCu, relaxed; distance to the lowest polymorph of the same formula = 0.103 eV per atom
1.0
-1.8750 -5.0886 -0.8473
1.1107 -3.5264 4.0568
-2.1796 5.0300 -0.2753
Cr Cu Tl
1 1 2
direct
0.5000 0.5000 0.0000
0.7500 0.2500 0.5000
0.0000 0.0000 0.0000
0.2500 0.7500 0.5000


[14]
PBE Hf2ThTi, relaxed; distance to the lowest polymorph of the same formula = 0.087 eV per atom
1.0
5.0574 0.0000 0.0000
2.5287 4.3798 0.0000
2.5287 1.4599 4.1325
Hf Th Ti
2 1 1
direct
0.7503 0.7503 0.7490
0.2497 0.2497 0.2510
0.0000 0.0000 0.0000
0.5000 0.5000 0.5000


[15]
PBE PuScTl2Se4, relaxed; formation energy (no corrections) = -1.16 eV per atom
1.0
4.1117 0.0000 0.0000
0.0000 7.1292 0.1312
0.0000 -2.4932 7.6714
Pu Sc Tl Se
1 1 2 4
direct
0.5000 0.5000 0.0000
0.0000 0.0000 0.0000
0.5000 0.0000 0.5000
0.0000 0.5000 0.5000
0.5000 0.2187 0.1969
0.5000 0.7813 0.8031
0.0000 0.2530 0.7986
0.0000 0.7470 0.2014


[16]
PBE HfTlOs3, relaxed; distance to the lowest polymorph of the same formula = 0.000 eV per atom
1.0
-2.3073 -1.8196 3.8826
3.2437 -3.6242 0.2292
2.8042 2.6950 2.9295
Hf Tl Os
1 1 3
direct
0.0000 0.0000 0.0000
0.5000 0.5000 0.5000
0.0000 0.5000 0.0000
0.0000 0.0000 0.5000
0.5000 0.0000 0.0000


[17]
PBE HfGa2Hg, relaxed; E = -17.19 eV/cell
1.0
-1.6410 2.3630 2.8222
0.5550 -3.1075 2.9246
3.8910 1.5796 0.9400
Hf Hg Ga
1 1 2
direct
0.5000 0.0000 0.0000
0.5000 0.5000 0.5000
0.0000 0.0000 0.5000
0.0000 0.5000 0.0000


[18]
PBE ThFeRh2, relaxed; E = -32.41 eV/cell
1.0
-0.7078 1.0412 3.6392
-4.0402 -1.3676 -0.3945
1.1858 -3.8907 1.3438
Rh Fe Th
2 1 1
direct
0.0000 0.0000 0.5000
0.0000 0.5000 0.0000
0.5000 0.5000 0.5000
0.5000 0.0000 0.0000


[19]
PBE ScCoRe2, relaxed; distance to the lowest polymorph of the same formula = 0.180 eV per atom
1.0
5.0818 0.0360 0.0026
2.1047 4.6256 -0.0026
-3.0981 -3.0942 2.5795
Co Re Sc
1 2 1
direct
0.2389 0.7389 0.5000
0.0003 0.0003 0.0000
0.7641 0.2641 0.5000
0.4967 0.4967 0.0000


[20]
PBE TaBeCu, relaxed; distance to the lowest polymorph of the same formula = 0.451 eV per atom
1.0
3.9539 0.0000 0.0000
1.9770 3.4242 0.0000
1.9770 1.1414 3.2284
Be Cu Ta
1 1 1
direct
0.5000 0.5000 0.5000
0.7500 0.7500 0.7500
0.0000 0.0000 0.0000